Entry 1:
This record from Alexandria via LeMat-Bulk describes a relaxed structure of YHo2Ag. The functional is PBE-GGA.

Values from the calculation:
Calculated volume   27.18 A^3/atom
Formation energy   18 meV/atom
Relative energy among the computed polymorphs   0.153 eV/atom
Space-group type   P4/mmm (123)

a = 4.7660 Å, b = 4.7660 Å, c = 4.7855 Å
α = 90.00°, β = 90.00°, γ = 90.00°
Last column: nearest neighbours and their distance in Å.
Fractional positions:
Y  0.0000  0.0000  0.0000  4 Ag 3.37, 8 Ho 3.38
Ho  0.0000  0.5000  0.5000  4 Ho 3.37, 4 Y 3.38, 4 Ag 3.38
Ho  0.5000  0.0000  0.5000  4 Ho 3.37, 4 Y 3.38, 4 Ag 3.38
Ag  0.5000  0.5000  0.0000  4 Y 3.37, 8 Ho 3.38

---

Entry 2:
This record from Alexandria via LeMat-Bulk describes a relaxed structure of Rb2PbBr6O. The functional is PBE-GGA.

Values from the calculation:
Calculated volume   34.52 A^3/atom
ΔE_f (raw)   -0.74 eV/atom
Space-group type   I4/mmm (139)

a = 8.2885 Å, b = 8.2885 Å, c = 8.2885 Å
α = 127.79°, β = 127.79°, γ = 76.97°
Last column: nearest neighbours and their distance in Å.
Fractional positions:
Rb  0.2500  0.7500  0.5000  4 Br 3.66
Rb  0.7500  0.2500  0.5000  4 Br 3.66
Pb  0.0000  0.0000  0.0000  6 Br 2.86-2.92
Br  0.2251  0.2251  0.0000  1 Pb 2.92
Br  0.2769  0.2769  0.5538  1 O 2.30
Br  0.2769  0.7231  0.0000  1 O 2.30
Br  0.7231  0.2769  0.0000  1 O 2.30
Br  0.7231  0.7231  0.4462  1 O 2.30
Br  0.7749  0.7749  0.0000  1 Pb 2.92
O  0.5000  0.5000  0.0000  4 Br 2.30

---

Record-wise spin magnetization values, in μB/cell: 0.0; 0.0
Record-wise mass density values, in g/cm3: 8.0; 4.2